[1]
A relaxed structure of Mn3TcNi, computed with PBE.

```
Mn3TcNi
1.0
-2.043 3.491 0.780
-1.618 -1.703 3.383
3.190 1.371 2.216
Mn Tc Ni
3 1 1
Direct
0.000 0.500 0.000
0.000 0.000 0.500
0.500 0.000 0.000
0.500 0.500 0.500
0.000 0.000 0.000
```

Computed properties:
DOS at the Fermi energy   13.13 states/eV per cell
ΔE to the lowest computed polymorph   0.53 eV per formula unit
Magnetic moment   0.14 μB per formula unit
Space group   Pm-3m (221)

[2]
A relaxed structure of Mn2TcNi, computed with PBE.

```
Mn2TcNi
1.0
3.655 0.000 0.000
0.000 3.655 0.000
0.000 0.000 3.547
Tc Mn Ni
1 2 1
Direct
0.000 0.500 0.500
0.000 0.000 0.000
0.500 0.500 0.000
0.500 0.000 0.500
```

Computed properties:
DOS at the Fermi energy   3.30 states/eV per cell
DFT total energy   -8.588 eV per atom
Magnetic moment   1.57 μB per formula unit
Space group   P4/mmm (123)

[3]
A relaxed structure of Mn2TcNi, computed with PBE.

```
Mn2TcNi
1.0
4.438 0.019 0.000
-1.421 4.205 0.000
0.000 0.000 2.607
Mn Ni Tc
2 1 1
Direct
0.000 0.000 0.000
0.500 0.500 0.000
0.500 0.000 0.500
0.000 0.500 0.500
```

Computed properties:
DOS at the Fermi energy   5.19 states/eV per cell
DFT total energy   -8.504 eV per atom
Magnetic moment   2.96 μB per formula unit
Space group   Cmmm (65)

Which value of DOS at the Fermi energy does entry 3 give? 5.19 states/eV per cell